Compound: MgFe2Ni2
Source: Alexandria
Functional: PBE
Structure: optimized geometry

```
MgFe2Ni2
1.0
3.743 0.000 0.000
0.000 3.743 0.000
1.872 1.872 5.026
Ni Mg Fe
2 1 2
direct
0.750 0.250 0.500
0.250 0.750 0.500
0.000 0.000 0.000
0.390 0.390 0.221
0.610 0.610 0.779
```

Values from the calculation:
For the energy of formation, the calculation gives 0.259 eV per atom. The value obtained for the total energy is -5.76 eV/atom. As for the space-group type: I4/mmm.

=====

Compound: Cs3BaSn2I9
Source: Alexandria
Functional: PBE
Structure: optimized geometry

```
Cs3BaSn2I9
1.0
-6.577 -2.361 -5.663
8.218 1.833 -3.165
2.961 -11.171 1.217
Cs Ba Sn I
3 1 2 9
direct
0.333 0.667 0.730
0.000 0.000 0.000
0.667 0.333 0.270
0.000 0.000 0.500
0.333 0.667 0.161
0.667 0.333 0.839
0.832 0.168 0.688
0.832 0.665 0.688
0.335 0.168 0.688
0.665 0.832 0.312
0.168 0.335 0.312
0.168 0.832 0.312
0.500 0.000 0.000
0.000 0.500 0.000
0.500 0.500 0.000
```

Values from the calculation:
The value obtained for the total energy is -2.92 eV/atom. As for the space-group type: P-3m1.